*1*
# TbPrNdTh (PBE-GGA, optimized geometry)
data_TbPrNdTh
_cell_length_a 3.6401
_cell_length_b 3.6401
_cell_length_c 35.3910
_cell_angle_alpha 90.00
_cell_angle_beta 90.00
_cell_angle_gamma 120.00
_symmetry_space_group_name_H-M 'R 3 m'
_symmetry_Int_Tables_number 160
_symmetry_space_group_name_Hall 'R 3 -2"'
loop_
_atom_site_label
_atom_site_type_symbol
_atom_site_fract_x
_atom_site_fract_y
_atom_site_fract_z
_atom_site_occupancy
Tb1 Tb 0.0000 0.0000 0.0000 1
Pr1 Pr 0.0000 0.0000 0.2492 1
Nd1 Nd 0.0000 0.0000 0.8269 1
Th1 Th 0.0000 0.0000 0.4129 1
# - DOS at the Fermi energy: 18.2 states/eV per cell

---

*2*
# TbPrNdTh (PBE-GGA, optimized geometry)
data_TbPrNdTh
_cell_length_a 8.157
_cell_length_b 8.157
_cell_length_c 8.157
_cell_angle_alpha 90.00
_cell_angle_beta 90.00
_cell_angle_gamma 90.00
_symmetry_space_group_name_H-M 'F -4 3 m'
_symmetry_Int_Tables_number 216
_symmetry_space_group_name_Hall 'F -4 2 3'
loop_
_atom_site_label
_atom_site_type_symbol
_atom_site_fract_x
_atom_site_fract_y
_atom_site_fract_z
_atom_site_occupancy
Tb1 Tb 0.000 0.000 0.000 1
Pr1 Pr 0.250 0.250 0.750 1
Nd1 Nd 0.250 0.250 0.250 1
Th1 Th 0.000 0.000 0.500 1
# - DOS at the Fermi energy: 46.1 states/eV per cell

---

We find *1* to be the most stable, with the next structure 18.1 kJ/mol of atoms higher.